Computed, not measured: a relaxed structure of Dy6ThSc2 at the GGA-PBE level of DFT.

Cell and atoms, written as CIF:
```
data_Dy6ThSc2
_cell_length_a 7.2400
_cell_length_b 7.2400
_cell_length_c 19.0930
_cell_angle_alpha 90.00
_cell_angle_beta 90.00
_cell_angle_gamma 120.00
_space_group_name_H-M_alt 'R 3 m'
_space_group_IT_number 160
_space_group_name_Hall 'R 3 -2"'
loop_
_atom_site_label
_atom_site_fract_x
_atom_site_fract_y
_atom_site_fract_z
_atom_site_occupancy
Dy1 0.0084 0.5042 0.0000 1
Dy2 0.0486 0.5243 0.7967 1
Th1 0.0000 0.0000 0.5478 1
Sc1 0.0000 0.0000 0.8104 1
Sc2 0.0000 0.0000 0.9843 1
```

The energy above the lowest structure with this stoichiometry comes out at 336 meV/atom. The calculated formation energy comes out at 4.217 eV/f.u. As for the crystal system: trigonal.

---

Computed, not measured: a relaxed structure of PuTiSe3 at the GGA-PBE level of DFT.

Cell and atoms, written as CIF:
```
data_PuTiSe3
_cell_length_a 11.412
_cell_length_b 6.972
_cell_length_c 5.738
_cell_angle_alpha 90.00
_cell_angle_beta 90.00
_cell_angle_gamma 90.00
_space_group_name_H-M_alt 'P b c m'
_space_group_IT_number 57
_space_group_name_Hall '-P 2c 2b'
loop_
_atom_site_label
_atom_site_fract_x
_atom_site_fract_y
_atom_site_fract_z
_atom_site_occupancy
Pu1 0.161 0.042 0.250 1
Ti1 0.425 0.250 0.000 1
Se1 0.027 0.750 0.000 1
Se2 0.263 0.077 0.750 1
Se3 0.412 0.577 0.750 1
```

The energy above the lowest structure with this stoichiometry comes out at 39 meV/atom. The value obtained for the uncorrected formation energy is -6.2 eV per formula unit. As for the crystal system: orthorhombic.

---

Computed, not measured: a relaxed structure of BeP2IrCl at the GGA-PBE level of DFT.

Cell and atoms, written as CIF:
```
data_BeP2IrCl
_cell_length_a 4.541
_cell_length_b 4.541
_cell_length_c 5.127
_cell_angle_alpha 90.00
_cell_angle_beta 90.00
_cell_angle_gamma 90.00
_space_group_name_H-M_alt 'P 4/m m m'
_space_group_IT_number 123
_space_group_name_Hall '-P 4 2'
loop_
_atom_site_label
_atom_site_fract_x
_atom_site_fract_y
_atom_site_fract_z
_atom_site_occupancy
Be1 0.000 0.000 0.000 1
P1 0.000 0.500 0.500 1
Ir1 0.500 0.500 0.500 1
Cl1 0.500 0.500 0.000 1
```

The value obtained for the uncorrected formation energy is 4.4 eV per formula unit. As for the crystal system: tetragonal.

---

Computed, not measured: a relaxed structure of KZrAgBr6 at the GGA-PBE level of DFT.

Cell and atoms, written as CIF:
```
data_KZrAgBr6
_cell_length_a 7.3112
_cell_length_b 7.3112
_cell_length_c 14.1219
_cell_angle_alpha 90.00
_cell_angle_beta 90.00
_cell_angle_gamma 120.00
_space_group_name_H-M_alt 'P -3 1 c'
_space_group_IT_number 163
_space_group_name_Hall '-P 3 2c'
loop_
_atom_site_label
_atom_site_fract_x
_atom_site_fract_y
_atom_site_fract_z
_atom_site_occupancy
K1 0.0000 0.0000 0.0000 1
Zr1 0.3333 0.6667 0.2500 1
Ag1 0.3333 0.6667 0.7500 1
Br1 0.0261 0.3844 0.1401 1
```

The value obtained for the uncorrected formation energy is -11.1 eV per formula unit. As for the crystal system: trigonal.

---

Computed, not measured: a relaxed structure of Zn5Cl at the GGA-PBE level of DFT.

Cell and atoms, written as CIF:
```
data_Zn5Cl
_cell_length_a 7.536
_cell_length_b 7.536
_cell_length_c 7.536
_cell_angle_alpha 90.00
_cell_angle_beta 90.00
_cell_angle_gamma 90.00
_space_group_name_H-M_alt 'F -4 3 m'
_space_group_IT_number 216
_space_group_name_Hall 'F -4 2 3'
loop_
_atom_site_label
_atom_site_fract_x
_atom_site_fract_y
_atom_site_fract_z
_atom_site_occupancy
Zn1 0.000 0.000 0.000 1
Zn2 0.126 0.126 0.626 1
Cl1 0.250 0.250 0.250 1
```

The energy above the lowest structure with this stoichiometry comes out at 138 meV/atom. The value obtained for the uncorrected formation energy is 0.6 eV per formula unit. As for the crystal system: cubic.

---

Computed, not measured: a relaxed structure of UMnNb2C4 at the GGA-PBE level of DFT.

Cell and atoms, written as CIF:
```
data_UMnNb2C4
_cell_length_a 3.206
_cell_length_b 11.004
_cell_length_c 10.770
_cell_angle_alpha 90.00
_cell_angle_beta 90.00
_cell_angle_gamma 90.00
_space_group_name_H-M_alt 'C m c m'
_space_group_IT_number 63
_space_group_name_Hall '-C 2c 2'
loop_
_atom_site_label
_atom_site_fract_x
_atom_site_fract_y
_atom_site_fract_z
_atom_site_occupancy
U1 0.000 0.102 0.250 1
Mn1 0.000 0.157 0.750 1
Nb1 0.000 0.370 0.045 1
C1 0.000 0.000 0.000 1
C2 0.000 0.270 0.624 1
C3 0.000 0.439 0.250 1
```

The calculated formation energy comes out at -2.320 eV/f.u. As for the crystal system: orthorhombic.

---

no.,total magnetization (μB per atom),raw total energy (eV per atom)
1,0.0001,-4.831
2,1.1654,-7.777
3,0.0000,-4.166
4,0.0000,-3.735
5,0.0000,-1.261
6,0.1633,-9.977